PBE Mg6TiNb, relaxed; ΔE to the lowest computed polymorph = 0.000 eV per atom; V = 20.7 A^3/atom; total moment = 0.00 μB per formula unit; total DFT energy (no corrections) = -3.30 eV per atom; space group = No. 38
1.0
-4.892 -0.617 -4.072
1.578 -4.470 4.293
-2.955 2.065 3.237
Mg Ti Nb
6 1 1
Direct
0.184 0.333 0.000 Mg
0.667 0.816 0.000 Mg
0.674 0.326 0.000 Mg
0.316 0.170 0.500 Mg
0.830 0.684 0.500 Mg
0.827 0.173 0.500 Mg
0.202 0.798 0.000 Ti
0.300 0.700 0.500 Nb

***

PBE Ca2TaPb, relaxed; V = 26.4 A^3/atom; total moment = 2.56 μB per formula unit; total DFT energy (no corrections) = -4.38 eV per atom; space group = No. 216
1.0
-4.420 -1.987 -2.160
-3.022 -3.370 2.768
-4.752 1.548 1.783
Pb Ca Ta
1 2 1
Direct
0.500 0.500 0.500 Pb
0.000 0.000 0.000 Ca
0.250 0.250 0.250 Ca
0.750 0.750 0.750 Ta

***

PBE TcAg2Ir, relaxed; ΔE to the lowest computed polymorph = 0.287 eV per atom; V = 15.9 A^3/atom; total moment = 0.00 μB per formula unit; total DFT energy (no corrections) = -5.78 eV per atom; space group = No. 12
1.0
5.056 -0.004 0.006
4.293 2.670 0.006
0.736 0.210 4.703
Ag Ir Tc
2 1 1
Direct
0.000 0.000 0.000 Ag
0.500 0.500 0.500 Ag
0.250 0.250 0.250 Ir
0.750 0.750 0.750 Tc